4
Lattice="3.273 0.000 0.000 0.000 3.276 0.000 0.000 0.000 7.227" Properties=species:S:1:pos:R:3 comment="CdCu2Pb, optimized geometry, DFT PBE-GGA" energy_ev_per_atom=-3.0526 ef_ev_per_atom=0.151 pbc="T T T"
Pb 0.000 0.000 3.291
Cu 1.637 1.638 1.369
Cu 0.000 0.000 0.301
Cd 1.637 1.638 5.879